(1)
10
Lattice="3.3696 0.0000 0.0000 0.0000 8.2378 0.0000 0.0000 0.0000 8.2378" Properties=species:S:1:pos:R:3 comment="SrLi2Cd2 GGA-PBEsol relaxed" dft_energy_ev_per_cell=-18.21 dos_ef_per_ev_fu=2.67 magmom_total_mub_per_cell=0.0 e_form_mev_per_atom=-187 e_above_lowest_polymorph_mev_per_atom=7 pbc="T T T"
Sr 0.0000 0.0000 0.0000
Li 0.0000 3.1204 7.2393
Li 0.0000 7.2393 5.1174
Sr 0.0000 4.1189 4.1189
Li 0.0000 0.9985 3.1204
Cd 1.6848 6.8397 2.7209
Cd 1.6848 1.3980 5.5169
Cd 1.6848 2.7209 1.3980
Cd 1.6848 5.5169 6.8397
Li 0.0000 5.1174 0.9985

=====

(2)
6
Lattice="-0.1242 -0.6248 -3.4497 1.7227 -6.6709 1.1462 -6.7641 -1.6535 0.5431" Properties=species:S:1:pos:R:3 comment="PmCl2 GGA-PBEsol relaxed" dft_energy_ev_per_cell=-29.97 e_form_raw_ev_per_fu=-5.83 dos_ef_per_ev_fu=1.93 magmom_total_mub_per_cell=0.0 pbc="T T T"
Cl -4.9617 -3.0682 -1.0492
Pm 0.0000 0.0000 0.0000
Cl -1.4131 -2.3334 0.4735
Cl -3.6283 -5.9910 1.2158
Pm -2.5828 -4.4746 -0.8802
Cl -0.2039 -5.8810 -0.7111

=====

(3)
5
Lattice="-4.5349 -2.6028 0.1831 1.2253 -1.6623 6.7184 -3.2841 5.8662 2.0504" Properties=species:S:1:pos:R:3 comment="Rb2ZrSbCl GGA-PBEsol relaxed" dft_energy_ev_per_cell=-13.72 e_form_raw_ev_per_fu=3.99 dos_ef_per_ev_fu=10.81 magmom_total_mub_per_cell=2.6 pbc="T T T"
Sb 0.0000 0.0000 0.0000
Rb 0.6127 -0.8311 3.3592
Rb -1.6421 2.9331 1.0252
Zr -3.2969 0.8006 4.4760
Cl -2.2674 -1.3014 0.0915

=====

(4)
5
Lattice="-2.6995 1.5587 -3.2199 3.6918 -1.4521 -3.7981 -2.3643 -4.9403 -0.4094" Properties=species:S:1:pos:R:3 comment="Ca2NbPRu GGA-PBEsol relaxed" dft_energy_ev_per_cell=-25.55 dos_ef_per_ev_fu=4.72 magmom_total_mub_per_cell=0.0 e_form_mev_per_atom=1100 pbc="T T T"
Nb 0.0000 0.0000 0.0000
Ca -1.1822 -2.4701 -0.2047
Ca 1.8459 -0.7260 -1.8991
Ru -1.3498 0.7794 -1.6099
P -0.6860 -2.4168 -3.7137

=====

(5)
4
Lattice="2.9789 0.0000 0.0000 0.0000 4.8251 0.0000 0.0000 0.0000 5.2976" Properties=species:S:1:pos:R:3 comment="Hg3W GGA-PBEsol relaxed" dft_energy_ev_per_cell=-12.90 dos_ef_per_ev_fu=1.95 magmom_total_mub_per_cell=0.0 e_form_mev_per_atom=651 e_above_lowest_polymorph_mev_per_atom=83 pbc="T T T"
Hg 1.4894 2.4126 4.4058
W 0.0000 2.4126 1.7676
Hg 1.4894 0.0000 2.5730
Hg 0.0000 0.0000 0.0828

=====

(6)
5
Lattice="-0.2500 3.4521 -1.5881 0.3934 -2.3463 -5.1622 -5.6581 -0.5030 -0.2025" Properties=species:S:1:pos:R:3 comment="Ba2FeCoB GGA-PBEsol relaxed" dft_energy_ev_per_cell=-23.95 dos_ef_per_ev_fu=5.47 magmom_total_mub_per_cell=2.7 e_form_mev_per_atom=814 pbc="T T T"
Co 0.0000 0.0000 0.0000
Ba -2.8291 -0.2515 -0.1013
Ba 0.1967 -1.1732 -2.5811
Fe -2.7574 0.3014 -3.4764
B -0.1250 1.7260 -0.7940

=====

(7)
3
Lattice="-3.0423 0.7722 -2.0107 1.9732 -0.3961 -3.1376 -0.8005 -5.7919 2.4421" Properties=species:S:1:pos:R:3 comment="CaHgPb GGA-PBEsol relaxed" dft_energy_ev_per_cell=-7.95 dos_ef_per_ev_fu=1.81 magmom_total_mub_per_cell=0.0 e_form_mev_per_atom=-418 pbc="T T T"
Ca -1.8360 -5.2745 -2.7029
Pb -1.0092 -1.8040 -2.6211
Hg -0.8942 -3.7531 -0.0885

=====

(8)
8
Lattice="5.8498 0.0000 0.0000 0.0000 5.8498 0.0000 -2.9249 -2.9249 5.7957" Properties=species:S:1:pos:R:3 comment="BeZnTe2 GGA-PBEsol relaxed" dft_energy_ev_per_cell=-28.21 e_form_raw_ev_per_fu=-1.47 dos_ef_per_ev_fu=0.00 magmom_total_mub_per_cell=0.0 e_above_lowest_polymorph_mev_per_atom=0 pbc="T T T"
Te 1.6202 4.3874 1.4489
Zn 0.0000 2.9249 2.8978
Zn 0.0000 0.0000 0.0000
Te -1.4625 -1.3047 4.3468
Te 1.4625 1.3047 4.3468
Be 2.9249 2.9249 0.0000
Be 2.9249 0.0000 2.8978
Te 4.2296 1.4625 1.4489